Tb3PmDy6Er2 | Alexandria via LeMat-Bulk | PBE | optimized geometry; energy relative to the elements = 0.02 eV/atom; raw total energy = -55.2 eV for the cell shown; ρ = 8468 kg/m3; total moment = 0.00 μB/cell
1.0
6.142 0.002 0.012
-3.068 5.321 0.012
-1.040 -1.801 11.577
Er Tb Dy Pm
2 3 6 1
Direct
0.333 0.667 0.000 Er
0.667 0.333 0.000 Er
0.167 0.833 0.500 Tb
0.833 0.167 0.500 Tb
0.500 0.500 0.500 Tb
0.418 0.084 0.250 Dy
0.750 0.750 0.250 Dy
0.916 0.582 0.750 Dy
0.084 0.418 0.250 Dy
0.250 0.250 0.750 Dy
0.582 0.916 0.750 Dy
0.000 0.000 0.000 Pm

---

LaSmAu | Alexandria via LeMat-Bulk | PBE | optimized geometry; energy relative to the elements = -0.46 eV/atom; raw total energy = -57.2 eV for the cell shown; energy relative to the lowest polymorph listed for this composition = 1.78 kcal/mol of atoms; ρ = 8428 kg/m3; total moment = 0.00 μB/cell
1.0
7.244 0.116 0.000
-0.649 6.997 0.000
0.000 0.000 7.549
Sm La Au
4 4 4
Direct
0.240 0.396 0.904 Sm
0.740 0.396 0.596 Sm
0.260 0.604 0.404 Sm
0.760 0.604 0.096 Sm
0.999 0.930 0.736 La
0.501 0.070 0.236 La
0.001 0.070 0.264 La
0.499 0.930 0.764 La
0.713 0.779 0.452 Au
0.787 0.221 0.952 Au
0.287 0.221 0.548 Au
0.213 0.779 0.048 Au

---

The lowest ρ belongs to which entry? LaSmAu

---

Number 1 is which compound? Tb3PmDy6Er2

---

What did the first record say?
Tb3PmDy6Er2 | Alexandria via LeMat-Bulk | PBE | optimized geometry; energy relative to the elements = 0.02 eV/atom; raw total energy = -55.2 eV for the cell shown; ρ = 8468 kg/m3; total moment = 0.00 μB/cell
1.0
6.142 0.002 0.012
-3.068 5.321 0.012
-1.040 -1.801 11.577
Er Tb Dy Pm
2 3 6 1
Direct
0.333 0.667 0.000 Er
0.667 0.333 0.000 Er
0.167 0.833 0.500 Tb
0.833 0.167 0.500 Tb
0.500 0.500 0.500 Tb
0.418 0.084 0.250 Dy
0.750 0.750 0.250 Dy
0.916 0.582 0.750 Dy
0.084 0.418 0.250 Dy
0.250 0.250 0.750 Dy
0.582 0.916 0.750 Dy
0.000 0.000 0.000 Pm